Ba2CdC after structural relaxation. Source: Alexandria, functional PBE.

Cell: 5.541 5.541 5.541 Å, 60.00 60.00 60.00°
Element x y z (fractional)
C: 0.000 0.000 0.000
Ba: 0.250 0.250 0.250
Ba: 0.750 0.750 0.750
Cd: 0.500 0.500 0.500

energy relative to the elements	2.91	eV per formula unit
DOS(E_F)	0.068	states/eV per atom

KP2ClF after structural relaxation. Source: Alexandria, functional PBE.

Cell: 6.998 6.998 5.720 Å, 90.00 90.00 90.00°
Element x y z (fractional)
P: 0.000 0.500 0.000
P: 0.500 0.000 0.000
K: 0.000 0.000 0.000
F: 0.500 0.500 0.500
Cl: 0.000 0.000 0.500

DOS(E_F)	5.410	states/eV per atom
raw formation energy	0.90	eV per atom